Compound: Na5B7C3
Source: Alexandria via LeMat-Bulk
Functional: PBE
Structure: relaxed

## Properties
Theoretical density (g cm⁻³): 2.41
Formation energy (meV per atom): 118
Uncorrected energy (eV/atom): -5.282

Cell lengths 2.808, 25.790, 8.619 Å; angles 90.00, 90.00, 90.00 degrees
Space group Cmcm (No. 63)
Unique sites:
Na: 0.000 0.000 0.000
Na: 0.000 0.200 0.000
Na: 0.000 0.399 0.000
B: 0.000 0.065 0.250
B: 0.000 0.070 0.750
B: 0.000 0.130 0.250
B: 0.000 0.258 0.750
B: 0.000 0.326 0.750
B: 0.000 0.336 0.250
B: 0.000 0.478 0.750
C: 0.000 0.133 0.750
C: 0.000 0.273 0.250
C: 0.000 0.462 0.250